Entry 1:
Li2MnCSO7 | PBEsol | relaxed

abc: 4.8357 6.3833 9.0661
angles: 90.00 96.92 90.00
Last column: nearest neighbours and their distance in Å.
Space group P2_1/m (No. 11)
Unique sites:
Li (0.2158, 0.0165, 0.3289) x4  4 O 1.99-2.10
Mn (0.2527, 0.7500, 0.8648) x2  5 O 2.09-2.18
C (0.2694, 0.7500, 0.5724) x2  3 O 1.28-1.32
S (0.2373, 0.2500, 0.9003) x2  4 O 1.48-1.49
O (0.0224, 0.7500, 0.6138) x2  1 C 1.29
O (0.1306, 0.0632, 0.8144) x4  1 S 1.48
O (0.1508, 0.2500, 0.0512) x2  1 S 1.48
O (0.3113, 0.7500, 0.4361) x2  1 C 1.28
O (0.4515, 0.7500, 0.0830) x2  1 S 1.49
O (0.4806, 0.7500, 0.6791) x2  1 C 1.32

Uncorrected formation energy: -1.639 eV per atom
Magnetization: 0.4167 μB per atom



Entry 2:
Rb3MnCo | PBEsol | relaxed

abc: 6.2924 6.2924 6.2924
angles: 90.00 90.00 90.00
Last column: nearest neighbours and their distance in Å.
Space group Pm-3m (No. 221)
Unique sites:
Rb (0.0000, 0.0000, 0.5000) x3  2 Co 3.15
Mn (0.5000, 0.5000, 0.5000) x1  12 Rb 4.45
Co (0.0000, 0.0000, 0.0000) x1  6 Rb 3.15

Energy of formation from the pure elements: 1.399 eV per atom
Magnetization: 1.1271 μB per atom



Entry 3:
BeHgSeBr2 | PBEsol | relaxed

abc: 4.4737 4.4737 5.5136
angles: 90.00 90.00 90.00
Last column: nearest neighbours and their distance in Å.
Space group P4/mmm (No. 123)
Unique sites:
Be (0.0000, 0.0000, 0.0000) x1  4 Br 2.24
Hg (0.5000, 0.5000, 0.5000) x1  4 Se 3.16
Se (0.0000, 0.0000, 0.5000) x1  2 Be 2.76
Br (0.0000, 0.5000, 0.0000) x2  2 Be 2.24

Uncorrected formation energy: -0.059 eV per atom
Magnetization: 0.0000 μB per atom



Entry 4:
MgTl2Ge2 | PBEsol | relaxed

abc: 4.3137 4.3137 13.6246
angles: 90.00 90.00 90.00
Last column: nearest neighbours and their distance in Å.
Space group I4/mmm (No. 139)
Unique sites:
Mg (0.0000, 0.0000, 0.0000) x2  8 Ge 3.28
Tl (0.0000, 0.5000, 0.2500) x4  4 Tl 3.05, 4 Ge 3.08
Ge (0.0000, 0.0000, 0.4109) x4  1 Ge 2.43

Energy of formation from the pure elements: 0.251 eV per atom
Magnetization: 0.0000 μB per atom